Here is an optimized crystal structure of Ce8Pu3In2 from Alexandria. Energies are from PBE-GGA.

It has space group C2/m (No. 12), with a = 14.626 Å, b = 6.632 Å, c = 8.466 Å, α = 90.00°, β = 115.18° and γ = 90.00°. Symmetry generates all atoms from Ce at (0.093, 0.250, 0.411), Ce at (0.127, 0.000, 0.981), Ce at (0.137, 0.500, 0.794), Pu at (0.000, 0.269, 0.000), Pu at (0.000, 0.500, 0.500) and In at (0.226, 0.500, 0.224).

The value obtained for the total energy is -7.381 eV/atom. The calculated formation energy is 0.00 eV/atom.